The following is a GGA-PBE calculation of crystalline Ho6CdCo at its relaxed geometry, from Alexandria.

Summary:
Size of the total moment   0.000 μB per cell
Space group   P-1
DFT formation energy   0.064 eV/atom

Cell lengths 6.759, 6.771, 7.296 Å; angles 90.11, 117.46, 119.91 degrees
Sites, in units of the cell vectors:
Ho (0.052, 0.088, 0.261)
Ho (0.296, 0.708, 0.261)
Ho (0.325, 0.535, 0.739)
Ho (0.675, 0.465, 0.261)
Ho (0.704, 0.292, 0.739)
Ho (0.948, 0.912, 0.739)
Cd (0.500, 0.000, 0.000)
Co (0.500, 0.500, 0.500)